Entry 1:
This record from the Alexandria database describes a geometry-optimized VSn2F8 structure. The functional is PBE+U.

Output
M_tot ... 0.99 μB per cell
Calculated volume ... 183.1 Å³ per cell
E_tot ... -57.9 eV/cell

Geometry as POSCAR:
```
VSn2F8
1.0
4.544 0.731 1.926
1.516 6.361 2.516
0.575 0.518 6.963
F Sn V
8 2 1
Cartesian
1.671 6.055 4.413
3.828 6.399 9.217
4.288 4.467 6.780
4.964 1.554 6.992
1.076 2.361 7.225
5.559 5.249 4.180
2.807 1.211 2.187
2.347 3.142 4.624
5.245 3.138 5.236
1.390 4.472 6.169
0.000 0.000 0.000
```


Entry 2:
This record from the Alexandria database describes a geometry-optimized VSnF2 structure. The functional is PBE+U.

Output
M_tot ... 5.87 μB per cell
Calculated volume ... 170.3 Å³ per cell
E_tot ... -40.7 eV/cell

Geometry as POSCAR:
```
VSnF2
1.0
-0.660 -0.111 -5.475
-0.252 -5.508 0.142
-6.009 -2.539 -2.002
Sn V F
2 2 4
Cartesian
-3.563 -2.730 -5.072
0.000 0.000 0.000
-0.456 -2.810 -2.666
-3.359 -5.428 -2.263
-1.835 -1.374 -2.977
-4.891 -4.945 -3.477
-1.854 -4.110 -2.024
-5.262 -5.887 -6.192
```


Entry 3:
This record from the Alexandria database describes a geometry-optimized V2SnF structure. The functional is PBE+U.

Output
M_tot ... 5.00 μB per cell
Calculated volume ... 71.6 Å³ per cell
E_tot ... -19.7 eV/cell

Geometry as POSCAR:
```
V2SnF
1.0
2.131 -4.122 0.430
-2.474 -3.802 1.068
-0.674 -3.317 -3.203
F Sn V
1 1 2
Cartesian
0.000 0.000 0.000
-0.509 -5.620 -0.853
-0.254 -2.810 -0.426
-0.763 -8.431 -1.279
```


Entry 4:
This record from the Alexandria database describes a geometry-optimized Sn3WF structure. The functional is PBE+U.

Output
M_tot ... 1.00 μB per cell
Calculated volume ... 148.6 Å³ per cell
E_tot ... -20.3 eV/cell

Geometry as POSCAR:
```
Sn3WF
1.0
-4.876 -0.644 1.964
-1.101 -3.450 -3.864
1.750 -3.966 3.043
Sn F W
3 1 1
Cartesian
0.875 -1.983 1.521
-0.550 -1.725 -1.932
-2.438 -0.322 0.982
-2.114 -4.030 0.571
0.000 0.000 0.000
```


Entry 5:
This record from the Alexandria database describes a geometry-optimized SnW2F4 structure. The functional is PBE+U.

Output
M_tot ... 9.86 μB per cell
Calculated volume ... 153.4 Å³ per cell
E_tot ... -31.3 eV/cell

Geometry as POSCAR:
```
SnW2F4
1.0
4.747 0.000 0.000
0.000 4.747 0.000
2.373 2.373 6.806
W F Sn
2 4 1
Cartesian
4.747 4.747 4.599
2.373 2.373 2.207
2.373 0.000 0.000
0.000 2.373 0.000
2.373 2.373 4.320
4.747 4.747 2.486
0.000 0.000 0.000
```


Entry 6:
This record from the Alexandria database describes a geometry-optimized SnW3F structure. The functional is PBE+U.

Output
M_tot ... 0.26 μB per cell
Calculated volume ... 86.3 Å³ per cell
E_tot ... -20.9 eV/cell

Geometry as POSCAR:
```
SnW3F
1.0
4.419 0.000 0.000
0.000 4.419 0.000
0.000 0.000 4.419
W Sn F
3 1 1
Cartesian
0.000 2.210 0.000
2.210 0.000 0.000
0.000 0.000 2.210
2.210 2.210 2.210
0.000 0.000 0.000
```


Entry 7:
This record from the Alexandria database describes a geometry-optimized SnW3F structure. The functional is PBE+U.

Output
M_tot ... 12.45 μB per cell
Calculated volume ... 180.8 Å³ per cell
E_tot ... -17.3 eV/cell

Geometry as POSCAR:
```
SnW3F
1.0
5.654 0.000 0.000
0.000 5.654 0.000
0.000 0.000 5.654
W F Sn
3 1 1
Cartesian
0.000 0.000 2.827
2.827 0.000 0.000
0.000 2.827 0.000
2.827 2.827 2.827
0.000 0.000 0.000
```


Entry 8:
This record from the Alexandria database describes a geometry-optimized Sn3WF structure. The functional is PBE+U.

Output
M_tot ... 3.72 μB per cell
Calculated volume ... 116.8 Å³ per cell
E_tot ... -20.3 eV/cell

Geometry as POSCAR:
```
Sn3WF
1.0
-1.980 -0.928 4.371
-3.300 -2.920 -2.114
3.013 -3.808 0.557
F W Sn
1 1 3
Cartesian
0.000 0.000 0.000
-1.133 -3.828 1.407
-0.990 -0.464 2.186
1.507 -1.904 0.278
-1.650 -1.460 -1.057
```


Copy entry 6 word for word.
This record from the Alexandria database describes a geometry-optimized SnW3F structure. The functional is PBE+U.

Output
M_tot ... 0.26 μB per cell
Calculated volume ... 86.3 Å³ per cell
E_tot ... -20.9 eV/cell

Geometry as POSCAR:
```
SnW3F
1.0
4.419 0.000 0.000
0.000 4.419 0.000
0.000 0.000 4.419
W Sn F
3 1 1
Cartesian
0.000 2.210 0.000
2.210 0.000 0.000
0.000 0.000 2.210
2.210 2.210 2.210
0.000 0.000 0.000
```